# 1
TlSbF4: relaxed, PBE-GGA.

a b c (Å): 6.5615 6.2224 7.5096
angles (deg): 111.88 113.42 95.46
Last column: nearest neighbours and their distance in Å.
Positions (direct):
Sb (0.0651, 0.8151, 0.6302)  4 F 1.97-2.14
Sb (0.9349, 0.1849, 0.3698)  4 F 1.97-2.14
F (0.3021, 0.1247, 0.8522)  1 Sb 1.97
F (0.0501, 0.7275, 0.8522)  1 Sb 1.97
F (0.6762, 0.3693, 0.3672)  1 Sb 2.14
F (0.6979, 0.8753, 0.1478)  1 Sb 1.97
F (0.1910, 0.9979, 0.3672)  1 Sb 2.14
F (0.3238, 0.6307, 0.6328)  1 Sb 2.14
F (0.9499, 0.2725, 0.1478)  1 Sb 1.97
F (0.8090, 0.0021, 0.6328)  1 Sb 2.14
Tl (0.6377, 0.3877, 0.7754)  4 F 2.78-2.98
Tl (0.3623, 0.6123, 0.2246)  4 F 2.78-2.98

Computed properties:
The space group is C2/c, No. 15. For the energy, the calculation gives -4.49 eV/atom. The uncorrected formation energy comes out at -2163 meV/atom. The calculation puts the volume at 20.85 Å³ per atom. The energy relative to the lowest polymorph listed for this composition is 58 meV per atom.

# 2
CdTe2AsN: relaxed, PBE-GGA.

a b c (Å): 5.6971 5.6971 4.0995
angles (deg): 90.00 90.00 90.00
Last column: nearest neighbours and their distance in Å.
Positions (direct):
Te (0.5000, 0.0000, 0.0000)  2 Cd 2.85
Te (0.0000, 0.5000, 0.0000)  2 Cd 2.85
As (0.5000, 0.5000, 0.5000)  8 Te 3.51
Cd (0.0000, 0.0000, 0.0000)  2 N 2.05
N (0.0000, 0.0000, 0.5000)  2 Cd 2.05

Computed properties:
The space group is P4/mmm, No. 123. For the energy, the calculation gives -2.85 eV/atom. The uncorrected formation energy comes out at 1183 meV/atom. The calculation puts the volume at 26.61 Å³ per atom. The energy relative to the lowest polymorph listed for this composition is 519 meV per atom.

# 3
Na2AlRuO4: relaxed, PBE-GGA.

a b c (Å): 5.1300 5.1300 5.1300
angles (deg): 105.06 111.72 111.72
Last column: nearest neighbours and their distance in Å.
Positions (direct):
O (0.0535, 0.1763, 0.5155)  1 Al 1.80, 1 Ru 1.98
O (0.9465, 0.4620, 0.1228)  1 Al 1.80, 1 Ru 1.98
O (0.6608, 0.4845, 0.5380)  1 Al 1.80, 1 Ru 1.98
O (0.3392, 0.8772, 0.8237)  1 Al 1.80, 1 Ru 1.98
Na (0.0000, 0.0000, 0.0000)  4 O 2.43
Na (0.5000, 0.7500, 0.2500)  4 O 2.39
Ru (0.5000, 0.2500, 0.7500)  4 O 1.98
Al (0.0000, 0.5000, 0.5000)  4 O 1.80

Computed properties:
The space group is I-4, No. 82. For the energy, the calculation gives -6.10 eV/atom. The uncorrected formation energy comes out at -1665 meV/atom. The calculation puts the volume at 12.93 Å³ per atom.

# 4
AgGe2Pd8: relaxed, PBE-GGA.

a b c (Å): 4.5803 6.6829 6.6829
angles (deg): 113.01 99.98 99.98
Last column: nearest neighbours and their distance in Å.
Positions (direct):
Pd (0.9034, 0.9237, 0.6775)  2 Ge 2.49-2.57, 1 Pd 2.74
Pd (0.9034, 0.6775, 0.9237)  2 Ge 2.49-2.57, 1 Pd 2.74
Pd (0.5000, 0.7586, 0.2414)  2 Ge 2.44, 1 Ag 2.69
Pd (0.0966, 0.3225, 0.0763)  2 Ge 2.49-2.57, 1 Pd 2.74
Pd (0.0966, 0.0763, 0.3225)  2 Ge 2.49-2.57, 1 Pd 2.74
Pd (0.3167, 0.6112, 0.6112)  2 Ge 2.49, 1 Pd 2.69, 1 Ag 2.72
Pd (0.5000, 0.2414, 0.7586)  2 Ge 2.44, 1 Ag 2.69
Pd (0.6833, 0.3888, 0.3888)  2 Ge 2.49, 1 Pd 2.69, 1 Ag 2.72
Ge (0.0000, 0.6832, 0.3168)  8 Pd 2.44-2.57
Ge (0.0000, 0.3168, 0.6832)  8 Pd 2.44-2.57
Ag (0.5000, 0.0000, 0.0000)  8 Pd 2.69-3.00

Computed properties:
The space group is C2/m, No. 12. For the energy, the calculation gives -5.14 eV/atom. The calculation puts the volume at 16.25 Å³ per atom. The calculation puts the formation energy from the elements at -0.2667 eV/atom.

# 5
Ir2WBr: relaxed, PBE-GGA.

a b c (Å): 9.3741 9.3741 9.3741
angles (deg): 17.68 17.68 17.68
Last column: nearest neighbours and their distance in Å.
Positions (direct):
Br (0.7601, 0.7601, 0.7601)  3 W 2.65, 6 Br 2.88
W (0.5016, 0.5016, 0.5016)  3 Br 2.65, 3 Ir 2.71, 6 W 2.88
Ir (0.2454, 0.2454, 0.2454)  3 W 2.71, 9 Ir 2.79-2.88
Ir (0.9929, 0.9929, 0.9929)  9 Ir 2.79-2.88

Computed properties:
The space group is R3m, No. 160. For the energy, the calculation gives -7.52 eV/atom. The uncorrected formation energy comes out at 566 meV/atom. The calculation puts the volume at 16.58 Å³ per atom. The energy relative to the lowest polymorph listed for this composition is 314 meV per atom.

# 6
PuAl3Au: relaxed, PBE-GGA.

a b c (Å): 4.2634 4.2635 6.2830
angles (deg): 70.13 70.13 90.02
Last column: nearest neighbours and their distance in Å.
Positions (direct):
Al (0.6513, 0.9546, 0.4029)  2 Au 2.56, 2 Al 2.68
Al (0.1510, 0.4547, 0.4029)  2 Au 2.56, 2 Al 2.68
Al (0.7983, 0.6019, 0.1090)  1 Au 2.47, 4 Al 2.68
Pu (0.3846, 0.1881, 0.9365)  8 Al 3.16-3.34, 4 Au 3.37-3.38
Au (0.0226, 0.8259, 0.6598)  5 Al 2.47-2.56

Computed properties:
The space group is I4mm, No. 107. For the energy, the calculation gives -6.17 eV/atom. The calculation puts the volume at 20.03 Å³ per atom. The calculation puts the formation energy from the elements at -0.4058 eV/atom. The energy relative to the lowest polymorph listed for this composition is 0 meV per atom.